No. 1
This record from the Alexandria database describes a relaxed KCdP2 crystal. The functional is PBE-GGA.

Calculated values
ΔH_f (0 K) in eV per atom: 0.34
D(E_F) in states/eV/atom: 0.36
Total magnetic moment in μB/cell: 0.0
Crystal system: trigonal

POSCAR file:
```
KCdP2
1.0
1.715 0.990 9.057
-1.715 0.990 9.057
0.000 -1.980 9.057
K Cd P
1 1 2
Direct
0.000 0.000 0.000
0.500 0.500 0.500
0.238 0.238 0.238
0.762 0.762 0.762
```

No. 2
This record from the Alexandria database describes a relaxed KCdP2 crystal. The functional is PBE-GGA.

Calculated values
ΔH_f (0 K) in eV per atom: -0.02
D(E_F) in states/eV/atom: 0.25
Total magnetic moment in μB/cell: 0.0
Crystal system: tetragonal

POSCAR file:
```
KCdP2
1.0
3.795 0.000 0.000
0.000 3.795 0.000
0.000 0.000 6.734
K Cd P
1 1 2
Direct
0.000 0.000 0.000
0.000 0.000 0.500
0.500 0.500 0.338
0.500 0.500 0.662
```

No. 3
This record from the Alexandria database describes a relaxed KCdP4 crystal. The functional is PBE-GGA.

Calculated values
ΔH_f (0 K) in eV per atom: 0.09
D(E_F) in states/eV/atom: 0.85
Total magnetic moment in μB/cell: 0.0
Crystal system: cubic

POSCAR file:
```
KCdP4
1.0
0.000 4.274 4.274
4.274 0.000 4.274
4.274 4.274 0.000
K Cd P
1 1 4
Direct
0.000 0.000 0.000
0.250 0.250 0.250
0.219 0.594 0.594
0.594 0.219 0.594
0.594 0.594 0.219
0.594 0.594 0.594
```

No. 4
This record from the Alexandria database describes a relaxed K5Cd4P4 crystal. The functional is PBE-GGA.

Calculated values
ΔH_f (0 K) in eV per atom: -0.27
D(E_F) in states/eV/atom: 0.22
Total magnetic moment in μB/cell: 0.2
Crystal system: tetragonal

POSCAR file:
```
K5Cd4P4
1.0
-6.442 6.442 2.199
6.442 -6.442 2.199
6.442 6.442 -2.199
K Cd P
5 4 4
Direct
0.000 0.000 0.000
0.297 0.636 0.933
0.364 0.297 0.662
0.636 0.703 0.338
0.703 0.364 0.067
0.110 0.417 0.527
0.417 0.890 0.307
0.583 0.110 0.693
0.890 0.583 0.473
0.045 0.720 0.766
0.280 0.045 0.325
0.720 0.955 0.675
0.955 0.280 0.234
```

No. 5
This record from the Alexandria database describes a relaxed K2Cd2P crystal. The functional is PBE-GGA.

Calculated values
ΔH_f (0 K) in eV per atom: 0.03
D(E_F) in states/eV/atom: 0.25
Total magnetic moment in μB/cell: 0.0
Crystal system: tetragonal

POSCAR file:
```
K2Cd2P
1.0
-3.418 3.418 3.958
3.418 -3.418 3.958
3.418 3.418 -3.958
K Cd P
2 2 1
Direct
0.250 0.750 0.500
0.750 0.250 0.500
0.179 0.179 0.000
0.821 0.821 0.000
0.500 0.500 0.000
```

No. 6
This record from the Alexandria database describes a relaxed KCdP2 crystal. The functional is PBE-GGA.

Calculated values
ΔH_f (0 K) in eV per atom: 0.05
D(E_F) in states/eV/atom: 0.28
Total magnetic moment in μB/cell: 0.0
Crystal system: trigonal

POSCAR file:
```
KCdP2
1.0
1.823 1.052 8.886
-1.823 1.052 8.886
0.000 -2.105 8.886
K Cd P
1 1 2
Direct
0.000 0.000 0.000
0.223 0.223 0.223
0.464 0.464 0.464
0.761 0.761 0.761
```

No. 7
This record from the Alexandria database describes a relaxed KCdP2 crystal. The functional is PBE-GGA.

Calculated values
ΔH_f (0 K) in eV per atom: 0.53
D(E_F) in states/eV/atom: 0.77
Total magnetic moment in μB/cell: 0.0
Crystal system: cubic

POSCAR file:
```
KCdP2
1.0
0.000 3.545 3.545
3.545 0.000 3.545
3.545 3.545 0.000
K Cd P
1 1 2
Direct
0.000 0.000 0.000
0.250 0.250 0.250
0.500 0.500 0.500
0.750 0.750 0.750
```

No. 8
This record from the Alexandria database describes a relaxed KCdP2 crystal. The functional is PBE-GGA.

Calculated values
ΔH_f (0 K) in eV per atom: -0.08
D(E_F) in states/eV/atom: 0.25
Total magnetic moment in μB/cell: 0.0
Crystal system: monoclinic

POSCAR file:
```
KCdP2
1.0
4.965 0.000 0.000
0.000 3.394 0.000
-2.474 0.000 6.230
K Cd P
1 1 2
Direct
0.000 0.000 0.000
0.683 0.500 0.368
0.272 0.000 0.545
0.387 0.500 0.773
```

> Among the records above, which one has the highest total magnetic moment?

K5Cd4P4